Here is a relaxed structure of Ni4PtCl from Alexandria via LeMat-Bulk. Energies are from PBE.

Geometry as CIF:
```
data_Ni4PtCl
_cell_length_a 4.826
_cell_length_b 4.826
_cell_length_c 4.826
_cell_angle_alpha 60.00
_cell_angle_beta 60.00
_cell_angle_gamma 60.00
_symmetry_space_group_name_H-M 'P 1'
_symmetry_Int_Tables_number 1
loop_
_symmetry_equiv_pos_as_xyz
'x,y,z'
loop_
_atom_site_label
_atom_site_type_symbol
_atom_site_fract_x
_atom_site_fract_y
_atom_site_fract_z
Ni1 Ni 0.125 0.125 0.125
Ni2 Ni 0.125 0.125 0.624
Ni3 Ni 0.125 0.624 0.125
Ni4 Ni 0.624 0.125 0.125
Pt1 Pt 0.500 0.500 0.500
Cl1 Cl 0.750 0.750 0.750
```

Summary:
Total moment (μB/f.u.): 2.81
Raw total energy (eV per atom): -4.67
Space-group type: No. 216
N(E_F) (states/eV per cell): 11.29
Formation energy from raw total energies (eV per atom): 0.50